A geometry-optimized LiBeSb2 structure, computed with PBE.

Output
The calculation puts the formation energy without anion corrections at 0.42 eV/atom. As for the crystal system: cubic. For the uncorrected energy, the calculation gives -48.76 eV for the cell shown.

Unit cell a=7.0028 b=7.0028 c=7.0028 alpha=90.00 beta=90.00 gamma=90.00
Closest atoms and distances in Å follow each position.
Space group F-43m (No. 216)
One atom of each set of equivalent atoms:
Li 0.0000 0.0000 0.0000 (multiplicity 4)  4 Sb 3.03, 4 Be 3.03
Be 0.2500 0.2500 0.2500 (multiplicity 4)  4 Li 3.03, 4 Sb 3.03
Sb 0.0000 0.0000 0.5000 (multiplicity 4)  4 Be 3.03, 4 Sb 3.03
Sb 0.2500 0.2500 0.7500 (multiplicity 4)  4 Sb 3.03, 4 Li 3.03